Record 1
This record from the Alexandria database describes a relaxed structure of ScIn2Ag2. The functional is PBE-GGA.

a b c (Å): 7.2640 7.2640 7.2640
angles (deg): 147.23 147.23 47.03
Fractional coordinates of all 5 atoms:
Sc1 0.0000 0.0000 0.0000
In1 0.3957 0.3957 0.0000
In2 0.6043 0.6043 0.0000
Ag1 0.2500 0.7500 0.5000
Ag2 0.7500 0.2500 0.5000

E above lowest polymorph: 95.1 meV per atom
V: 22.376 Å³/atom
N(E_F): 3.239 states/eV/cell
SG: No. 139
ΔE_f: -0.050 eV/atom

=====

Record 2
This record from the Alexandria database describes a relaxed structure of Tl2Pd8Pt. The functional is PBE-GGA.

a b c (Å): 6.9282 6.9282 5.0228
angles (deg): 92.58 92.58 60.40
Fractional coordinates of all 11 atoms:
Tl1 0.1522 0.1522 0.4552
Tl2 0.8478 0.8478 0.5448
Pd1 0.2113 0.6003 0.1881
Pd2 0.2297 0.2297 0.9683
Pd3 0.3997 0.7887 0.8119
Pd4 0.4058 0.4058 0.6657
Pd5 0.5942 0.5942 0.3342
Pd6 0.6003 0.2113 0.1881
Pd7 0.7703 0.7703 0.0317
Pd8 0.7887 0.3997 0.8119
Pt1 0.0000 0.0000 0.0000

E above lowest polymorph: 234.0 meV per atom
V: 19.032 Å³/atom
N(E_F): 13.149 states/eV/cell
SG: No. 12
ΔE_f: 0.135 eV/atom

=====

Record 3
This record from the Alexandria database describes a relaxed structure of YHoGaSe. The functional is PBE-GGA.

a b c (Å): 7.6535 7.6535 7.6535
angles (deg): 29.94 29.94 29.94
Fractional coordinates of all 4 atoms:
Y1 0.0000 0.0000 0.0000
Ho1 0.5027 0.5027 0.5027
Ga1 0.7520 0.7520 0.7520
Se1 0.2507 0.2507 0.2507

V: 24.724 Å³/atom
N(E_F): 1.596 states/eV/cell
Raw formation energy: -4.72 eV per formula unit
SG: No. 160

=====

Record 4
This record from the Alexandria database describes a relaxed structure of KNaS2. The functional is PBE-GGA.

a b c (Å): 9.9332 9.9332 9.9332
angles (deg): 21.25 21.25 21.25
Fractional coordinates of all 4 atoms:
K1 0.0000 0.0000 0.0000
Na1 0.5000 0.5000 0.5000
S1 0.0990 0.0990 0.0990
S2 0.9010 0.9010 0.9010

E above lowest polymorph: 719.8 meV per atom
V: 28.187 Å³/atom
N(E_F): 2.714 states/eV/cell
Raw formation energy: -0.38 eV per formula unit
SG: No. 166

=====

Which value of V does entry 1 give? 22.376 Å³/atom

=====

Look up the V of the fourth one. 28.187 Å³/atom

=====

What did the third record say?
This record from the Alexandria database describes a relaxed structure of YHoGaSe. The functional is PBE-GGA.

a b c (Å): 7.6535 7.6535 7.6535
angles (deg): 29.94 29.94 29.94
Fractional coordinates of all 4 atoms:
Y1 0.0000 0.0000 0.0000
Ho1 0.5027 0.5027 0.5027
Ga1 0.7520 0.7520 0.7520
Se1 0.2507 0.2507 0.2507

V: 24.724 Å³/atom
N(E_F): 1.596 states/eV/cell
Raw formation energy: -4.72 eV per formula unit
SG: No. 160